# 1
Density functional theory data (PBE-GGA) for a relaxed structure of Na3B2Se4.

Properties
Total moment = 1.99 μB per cell
Space-group type = C2/c (15)
ΔE_f (raw) = -0.440 eV/atom
Calculated total energy = -3.91 eV/atom
Density = 3.393 g cm⁻³
Excess energy over the best structure of this formula in the dataset = 0.057 eV/atom

Cell: 6.038 8.185 8.185 Å, 79.54 89.90 89.90°
Each line ends with the local moment (μB).
Fractional coordinates of all 18 atoms:
1 Se 0.392 0.604 0.733  0.02
2 Se 0.033 0.715 0.031  -0.01
3 Se 0.608 0.396 0.267  0.02
4 Se 0.533 0.031 0.715  -0.01
5 Se 0.108 0.267 0.396  0.02
6 Se 0.892 0.733 0.604  0.02
7 Se 0.967 0.285 0.969  -0.01
8 Se 0.467 0.969 0.285  -0.01
9 Na 0.043 0.019 0.760  0.00
10 Na 0.250 0.622 0.378  0.00
11 Na 0.957 0.981 0.240  0.00
12 Na 0.750 0.378 0.622  0.00
13 Na 0.457 0.240 0.981  0.00
14 Na 0.543 0.760 0.019  0.00
15 B 0.088 0.666 0.811  0.21
16 B 0.912 0.334 0.189  0.21
17 B 0.588 0.811 0.666  0.21
18 B 0.412 0.189 0.334  0.21

# 2
Density functional theory data (PBE-GGA) for a relaxed structure of Na2BSe.

Properties
Total moment = 0.92 μB per cell
Space-group type = Fm-3m (225)
ΔE_f (raw) = 0.439 eV/atom
Calculated total energy = -2.76 eV/atom
Density = 2.824 g cm⁻³
Excess energy over the best structure of this formula in the dataset = 0.000 eV/atom

Cell: 4.833 4.833 4.833 Å, 60.00 60.00 60.00°
Each line ends with the local moment (μB).
Fractional coordinates of all 4 atoms:
1 Na 0.250 0.250 0.250  0.01
2 Na 0.750 0.750 0.750  0.01
3 Se 0.500 0.500 0.500  -0.03
4 B 0.000 0.000 0.000  0.35

# 3
Density functional theory data (PBE-GGA) for a relaxed structure of Na2BSe.

Properties
Total moment = 2.00 μB per cell
Space-group type = I-42d (122)
ΔE_f (raw) = 0.590 eV/atom
Calculated total energy = -2.61 eV/atom
Density = 2.483 g cm⁻³
Excess energy over the best structure of this formula in the dataset = 0.150 eV/atom

Cell: 4.479 4.479 9.590 Å, 76.50 76.50 90.00°
Each line ends with the local moment (μB).
Fractional coordinates of all 8 atoms:
1 Se 0.750 0.250 0.500  0.04
2 Se 0.000 0.000 0.000  0.04
3 B 0.500 0.500 0.000  0.30
4 B 0.250 0.750 0.500  0.30
5 Na 0.875 0.861 0.750  0.03
6 Na 0.375 0.389 0.750  0.03
7 Na 0.139 0.625 0.250  0.03
8 Na 0.611 0.125 0.250  0.03

# 4
Density functional theory data (PBE-GGA) for a relaxed structure of NaBSe2.

Properties
Total moment = 0.00 μB per cell
Space-group type = R-3m (166)
ΔE_f (raw) = 0.239 eV/atom
Calculated total energy = -3.50 eV/atom
Density = 3.976 g cm⁻³

Cell: 8.336 8.336 8.336 Å, 23.38 23.38 23.38°
Fractional coordinates of all 4 atoms:
1 Se 0.115 0.115 0.115
2 Se 0.885 0.885 0.885
3 B 0.500 0.500 0.500
4 Na 0.000 0.000 0.000